## Dy3Be4Co4 (GGA-PBE)

Data for crystalline Dy3Be4Co4 at its relaxed geometry.

Cell and atoms, written as POSCAR:
```
Dy3Be4Co4
1.0
-3.4257 3.4257 3.4257
3.4257 -3.4257 3.4257
3.4257 3.4257 -3.4257
Dy Be Co
3 4 4
Direct
0.0000 0.5000 0.5000 Dy
0.5000 0.0000 0.5000 Dy
0.5000 0.5000 0.0000 Dy
0.0000 0.0000 0.6200 Be
0.0000 0.6200 0.0000 Be
0.3800 0.3800 0.3800 Be
0.6200 0.0000 0.0000 Be
0.0000 0.0000 0.2523 Co
0.0000 0.2523 0.0000 Co
0.2523 0.0000 0.0000 Co
0.7477 0.7477 0.7477 Co
```

Summary:
- Final energy: -5.3817 eV/atom
- SG: I-43m, No. 217
- Energy relative to the elements: -187.7 meV per atom